Model A:
Ni3MoPt6 | GGA-PBE | relaxed

Results
**Symmetry**: Cmc2_1, No. 36
**Total moment**: 0.00 μB per formula unit

Unit cell a=5.314 b=7.847 c=7.847 alpha=110.57 beta=90.00 gamma=90.00
Positions (direct):
Pt 0.147 0.292 0.277
Pt 0.147 0.723 0.708
Pt 0.368 0.569 0.937
Pt 0.455 0.947 0.053
Pt 0.868 0.937 0.569
Pt 0.368 0.063 0.431
Pt 0.678 0.282 0.718
Pt 0.868 0.431 0.063
Pt 0.647 0.708 0.723
Pt 0.955 0.053 0.947
Pt 0.178 0.718 0.282
Pt 0.647 0.277 0.292
Ni 0.362 0.429 0.571
Ni 0.862 0.571 0.429
Ni 0.909 0.002 0.271
Ni 0.409 0.271 0.002
Ni 0.409 0.998 0.729
Ni 0.909 0.729 0.998
Mo 0.141 0.255 0.745
Mo 0.641 0.745 0.255

Model B:
Ni3MoPt6 | GGA-PBE | relaxed

Results
**Symmetry**: Pnnm, No. 58
**Total moment**: 0.01 μB per formula unit

Unit cell a=2.746 b=9.013 c=12.369 alpha=90.01 beta=90.00 gamma=90.00
Positions (direct):
Pt 0.500 0.219 0.447
Pt 0.500 0.801 0.870
Pt 0.500 0.199 0.130
Pt 0.000 0.281 0.947
Pt 0.000 0.301 0.630
Pt 0.500 0.561 0.204
Pt 0.500 0.439 0.796
Pt 0.000 0.719 0.053
Pt 0.000 0.699 0.370
Pt 0.000 0.061 0.296
Pt 0.000 0.939 0.704
Pt 0.500 0.781 0.553
Mo 0.500 0.500 0.500
Mo 0.000 0.000 0.000
Ni 0.000 0.603 0.671
Ni 0.500 0.500 0.000
Ni 0.500 0.897 0.171
Ni 0.000 0.397 0.329
Ni 0.500 0.103 0.829
Ni 0.000 0.000 0.500

The structure with the least stability is model A.

Model A:
Ni8Mo2Pt | GGA-PBE | relaxed

Results
**Symmetry**: C2/m, No. 12
**Total moment**: 0.00 μB per formula unit

Unit cell a=4.401 b=6.638 c=7.106 alpha=62.15 beta=71.93 gamma=48.38
Positions (direct):
Ni 0.500 0.797 0.406
Ni 0.235 0.896 0.735
Ni 0.765 0.369 0.735
Ni 0.500 0.203 0.594
Ni 0.235 0.631 0.265
Ni 0.248 0.499 0.000
Ni 0.752 0.501 0.000
Ni 0.765 0.104 0.265
Mo 0.000 0.683 0.634
Mo 0.000 0.317 0.366
Pt 0.500 0.000 0.000

Model B:
Ni8Mo2Pt | GGA-PBE | relaxed

Results
**Symmetry**: C2/m, No. 12
**Total moment**: 0.00 μB per formula unit

Unit cell a=3.673 b=5.685 c=6.859 alpha=103.56 beta=105.53 gamma=90.00
Positions (direct):
Ni 0.409 0.540 0.818
Ni 0.229 0.635 0.458
Ni 0.684 0.909 0.368
Ni 0.591 0.460 0.182
Ni 0.316 0.091 0.632
Ni 0.952 0.274 0.904
Ni 0.771 0.365 0.542
Ni 0.048 0.726 0.096
Mo 0.858 0.805 0.716
Mo 0.142 0.195 0.284
Pt 0.500 0.000 0.000

The structure with the least stability is model A.

Model A:
Ni2MoPtW | GGA-PBE | relaxed

Results
**Symmetry**: P4/mmm, No. 123
**Total moment**: 0.00 μB per formula unit

Unit cell a=4.438 b=4.615 c=4.438 alpha=90.00 beta=90.00 gamma=90.00
Positions (direct):
Mo 0.000 0.000 0.000
Ni 0.000 0.000 0.500
Ni 0.500 0.000 0.000
W 0.000 0.500 0.000
Pt 0.500 0.500 0.500

Model B:
Ni2MoPtW | GGA-PBE | relaxed

Results
**Symmetry**: P4/mmm, No. 123
**Total moment**: 0.89 μB per formula unit

Unit cell a=4.477 b=4.697 c=4.477 alpha=90.00 beta=90.00 gamma=90.00
Last column: magnetic moment on the atom in μB.
Positions (direct):
Mo 0.000 0.500 0.000  -0.76
Ni 0.500 0.000 0.000  -0.14
Ni 0.000 0.000 0.500  -0.28
W 0.500 0.500 0.500  1.67
Pt 0.000 0.000 0.000  -0.01

The structure with the least stability is model B.

Model A:
Rb2NiMo | GGA-PBE | relaxed

Results
**Symmetry**: Fm-3m, No. 225
**Total moment**: 5.18 μB per formula unit

Unit cell a=5.923 b=5.923 c=5.923 alpha=60.00 beta=60.00 gamma=60.00
Last column: magnetic moment on the atom in μB.
Positions (direct):
Rb 0.250 0.250 0.250  0.04
Rb 0.750 0.750 0.750  0.04
Mo 0.500 0.500 0.500  3.89
Ni 0.000 0.000 0.000  -0.07

Model B:
Rb2NiMo | GGA-PBE | relaxed

Results
**Symmetry**: I-42d, No. 122
**Total moment**: 3.68 μB per formula unit

Unit cell a=12.968 b=12.968 c=9.452 alpha=46.69 beta=46.69 gamma=90.00
Last column: magnetic moment on the atom in μB.
Positions (direct):
Ni 0.500 0.500 0.000  0.16
Ni 0.250 0.750 0.500  0.16
Rb 0.442 0.125 0.250  0.01
Rb 0.375 0.558 0.750  0.02
Rb 0.308 0.625 0.250  0.01
Rb 0.875 0.692 0.750  0.02
Mo 0.750 0.250 0.500  2.50
Mo 0.000 0.000 0.000  2.50

The structure with the least stability is model A.

Model A:
RbNiMo2 | GGA-PBE | relaxed

Results
**Symmetry**: I4_1/amd, No. 141
**Total moment**: 0.00 μB per formula unit

Unit cell a=4.864 b=4.864 c=9.446 alpha=75.08 beta=75.08 gamma=90.00
Positions (direct):
Mo 0.875 0.625 0.750
Mo 0.375 0.625 0.250
Mo 0.375 0.125 0.250
Mo 0.375 0.625 0.750
Rb 0.000 0.000 0.000
Rb 0.750 0.250 0.500
Ni 0.500 0.500 0.000
Ni 0.250 0.750 0.500

Model B:
RbNiMo2 | GGA-PBE | relaxed

Results
**Symmetry**: Fm-3m, No. 225
**Total moment**: 0.00 μB per formula unit

Unit cell a=4.562 b=4.562 c=4.562 alpha=60.00 beta=60.00 gamma=60.00
Positions (direct):
Rb 0.500 0.500 0.500
Mo 0.250 0.250 0.250
Mo 0.750 0.750 0.750
Ni 0.000 0.000 0.000

The structure with the least stability is model B.

Model A:
NiMoRh2 | GGA-PBE | relaxed

Results
**Symmetry**: Pmmm, No. 47
**Total moment**: 0.00 μB per formula unit

Unit cell a=3.730 b=2.730 c=6.079 alpha=63.25 beta=90.00 gamma=90.00
Positions (direct):
Rh 0.000 0.491 0.509
Rh 0.000 0.009 0.991
Ni 0.500 0.750 0.750
Mo 0.500 0.250 0.250

Model B:
NiMoRh2 | GGA-PBE | relaxed

Results
**Symmetry**: P4/mmm, No. 123
**Total moment**: 0.00 μB per formula unit

Unit cell a=3.849 b=3.850 c=3.714 alpha=90.00 beta=90.00 gamma=90.00
Positions (direct):
Mo 0.500 0.000 0.500
Rh 0.500 0.500 0.000
Rh 0.000 0.000 0.000
Ni 0.000 0.500 0.500

The structure with the least stability is model B.

Model A:
NiMoRh2 | GGA-PBE | relaxed

Results
**Symmetry**: R3m, No. 160
**Total moment**: 1.04 μB per formula unit

Unit cell a=8.883 b=8.883 c=8.883 alpha=17.62 beta=17.62 gamma=17.62
Last column: magnetic moment on the atom in μB.
Positions (direct):
Mo 0.498 0.498 0.498  -0.01
Rh 0.003 0.003 0.003  0.63
Rh 0.249 0.249 0.249  0.08
Ni 0.750 0.750 0.750  0.35

Model B:
NiMoRh2 | GGA-PBE | relaxed

Results
**Symmetry**: F-43m, No. 216
**Total moment**: 0.00 μB per formula unit

Unit cell a=4.297 b=4.297 c=4.297 alpha=60.00 beta=60.00 gamma=60.00
Positions (direct):
Mo 0.500 0.500 0.500
Ni 0.750 0.750 0.750
Rh 0.000 0.000 0.000
Rh 0.250 0.250 0.250

The structure with the least stability is model B.

Model A:
NiMoRh2 | GGA-PBE | relaxed

Results
**Symmetry**: I-4m2, No. 119
**Total moment**: 0.00 μB per formula unit

Unit cell a=4.706 b=4.706 c=4.708 alpha=132.81 beta=132.81 gamma=68.93
Positions (direct):
Rh 0.000 0.000 0.000
Rh 0.750 0.250 0.500
Ni 0.250 0.750 0.500
Mo 0.500 0.500 0.000

Model B:
NiMoRh2 | GGA-PBE | relaxed

Results
**Symmetry**: Cmmm, No. 65
**Total moment**: 0.00 μB per formula unit

Unit cell a=4.636 b=4.636 c=2.725 alpha=90.00 beta=90.00 gamma=108.26
Positions (direct):
Rh 0.000 0.000 0.000
Rh 0.500 0.500 0.000
Ni 0.000 0.500 0.500
Mo 0.500 0.000 0.500

The structure with the least stability is model B.